# 1
VASP calculation (PBE) on an optimized crystal structure of Re2Ag. Values from VASP.

Output
Calculated formation energy: 0.651 eV per atom
DOS(E_F): 0.984 states/eV/atom
Raw total energy: -8.60 eV/atom
Distance to the lowest polymorph of the same formula: 0.342 eV per atom

```
&SYSTEM
  ibrav = 0, nat = 9, ntyp = 2
/
ATOMIC_SPECIES
Re 186.21 Re.upf
Ag 107.87 Ag.upf
ATOMIC_POSITIONS angstrom
Re 1.2281 2.1271 0.0000
Re 2.5418 4.4025 1.3230
Re 1.2281 -2.1271 0.0000
Re 5.3548 0.0000 0.0000
Re 2.5418 -4.4025 1.3230
Re 2.7274 0.0000 1.3230
Ag 0.0000 0.0000 1.3230
Ag 3.9055 2.2548 0.0000
Ag 3.9055 -2.2548 0.0000
CELL_PARAMETERS angstrom
3.9055 -6.7645 0.0000
3.9055 6.7645 0.0000
0.0000 0.0000 2.6460
```

# 2
VASP calculation (PBE) on an optimized crystal structure of NaVTc2Ir. Values from VASP.

Output
Calculated formation energy: 2.363 eV per atom
DOS(E_F): 1.647 states/eV/atom
Raw total energy: -5.64 eV/atom

```
&SYSTEM
  ibrav = 0, nat = 5, ntyp = 4
/
ATOMIC_SPECIES
Na 22.99 Na.upf
Ir 192.22 Ir.upf
Tc 98.00 Tc.upf
V 50.94 V.upf
ATOMIC_POSITIONS angstrom
Na 0.0000 0.0000 0.0000
Ir -0.3941 1.4053 3.4461
Tc 0.6877 1.9713 0.6699
Tc -1.8985 0.3042 1.0540
V 0.8167 -0.8702 1.7222
CELL_PARAMETERS angstrom
-3.7971 0.6084 2.1080
1.6334 -1.7403 3.4444
1.3755 3.9426 1.3398
```

# 3
VASP calculation (PBE) on an optimized crystal structure of MgCu2Te. Values from VASP.

Output
DOS(E_F): 0.436 states/eV/atom
Raw total energy: -3.28 eV/atom
Distance to the lowest polymorph of the same formula: 0.000 eV per atom

```
&SYSTEM
  ibrav = 0, nat = 4, ntyp = 3
/
ATOMIC_SPECIES
Cu 63.55 Cu.upf
Mg 24.30 Mg.upf
Te 127.60 Te.upf
ATOMIC_POSITIONS angstrom
Cu -5.4347 -11.7299 -5.0759
Cu -1.8206 -3.9294 -1.7004
Mg -3.0626 -6.6101 -2.8604
Te -4.3084 -9.2990 -4.0239
CELL_PARAMETERS angstrom
-0.0384 -4.4570 -3.2954
-1.9064 -5.1898 0.3980
-3.9057 -2.9805 -2.5667
```

# 4
VASP calculation (PBE) on an optimized crystal structure of Mg2UIr4. Values from VASP.

Output
Calculated formation energy: -0.298 eV per atom
DOS(E_F): 0.692 states/eV/atom
Raw total energy: -7.43 eV/atom

```
&SYSTEM
  ibrav = 0, nat = 7, ntyp = 3
/
ATOMIC_SPECIES
Mg 24.30 Mg.upf
U 238.03 U.upf
Ir 192.22 Ir.upf
ATOMIC_POSITIONS angstrom
Mg 0.0000 4.7604 0.2374
Mg 0.0000 1.7159 4.4467
U 1.8974 3.2382 2.3420
Ir 0.0000 4.6831 3.3871
Ir 0.0000 1.7932 1.2970
Ir 1.8974 0.3997 2.8569
Ir 1.8974 2.8384 -0.5149
CELL_PARAMETERS angstrom
3.7949 0.0000 0.0000
0.0000 5.6768 -1.0298
0.0000 0.7995 5.7138
```

# 5
VASP calculation (PBE) on an optimized crystal structure of BaPaBi2Pd2. Values from VASP.

Output
Calculated formation energy: -0.628 eV per atom
DOS(E_F): 0.877 states/eV/atom
Raw total energy: -5.56 eV/atom

```
&SYSTEM
  ibrav = 0, nat = 6, ntyp = 4
/
ATOMIC_SPECIES
Ba 137.33 Ba.upf
Pa 231.04 Pa.upf
Bi 208.98 Bi.upf
Pd 106.42 Pd.upf
ATOMIC_POSITIONS angstrom
Ba 0.0000 0.0000 0.0000
Pa 0.0618 -1.6666 4.0390
Bi -2.5848 -0.1644 2.4862
Bi -1.9077 -4.1852 5.2429
Pd -2.5365 -1.4668 5.6425
Pd -1.9560 -2.8828 2.0866
CELL_PARAMETERS angstrom
-3.2369 3.1825 1.3627
-1.3791 -4.1990 -1.7115
0.1235 -3.3331 8.0779
```

# 6
VASP calculation (PBE) on an optimized crystal structure of PdCN2F. Values from VASP.

Output
DOS(E_F): 0.562 states/eV/atom
Raw total energy: -4.77 eV/atom
Distance to the lowest polymorph of the same formula: 0.000 eV per atom

```
&SYSTEM
  ibrav = 0, nat = 5, ntyp = 4
/
ATOMIC_SPECIES
C 12.01 C.upf
N 14.01 N.upf
Pd 106.42 Pd.upf
F 19.00 F.upf
ATOMIC_POSITIONS angstrom
C 0.0000 0.0000 0.0000
N 0.8133 -1.4190 0.5609
N -0.1659 0.5496 1.6310
Pd 2.2256 -0.0152 2.0646
F 1.5782 0.8542 -0.1273
CELL_PARAMETERS angstrom
-0.3319 1.0992 3.2620
1.6266 -2.8381 1.1218
3.1563 1.7084 -0.2546
```

# 7
VASP calculation (PBE) on an optimized crystal structure of SN. Values from VASP.

Output
DOS(E_F): 0.668 states/eV/atom
Raw total energy: -4.21 eV/atom

```
&SYSTEM
  ibrav = 0, nat = 12, ntyp = 2
/
ATOMIC_SPECIES
S 32.06 S.upf
N 14.01 N.upf
ATOMIC_POSITIONS angstrom
S -1.5249 -1.1740 -2.6497
S -4.2374 -0.1860 -3.1454
S -3.2587 -0.1098 0.3051
S -4.3512 -2.3054 1.9067
S -1.1768 -3.0297 0.4007
S -1.3455 -4.6977 -2.0011
N -2.4487 -1.7016 1.3537
N -5.1612 -0.7136 0.8580
N -0.7149 -2.7659 -1.6010
N -1.8074 -4.9615 0.0006
N -2.7968 0.1540 -1.6966
N -2.9655 -1.5140 -4.0984
CELL_PARAMETERS angstrom
-5.4250 1.9761 -0.9915
-0.3373 -3.3361 -4.8036
-2.1850 -4.3913 3.2032
```

# 8
VASP calculation (PBE) on an optimized crystal structure of KZr2P. Values from VASP.

Output
Calculated formation energy: -0.061 eV per atom
DOS(E_F): 1.211 states/eV/atom
Raw total energy: -5.96 eV/atom

```
&SYSTEM
  ibrav = 0, nat = 4, ntyp = 3
/
ATOMIC_SPECIES
K 39.10 K.upf
P 30.97 P.upf
Zr 91.22 Zr.upf
ATOMIC_POSITIONS angstrom
K 4.8712 1.8462 3.9555
P 8.6236 3.2683 6.6966
Zr 2.4845 0.9416 6.9647
Zr 2.6627 1.0092 1.0822
CELL_PARAMETERS angstrom
4.9213 0.0082 0.0255
3.6905 3.2556 0.0255
2.2897 0.8678 7.4491
```

DOS(E_F) of number 3 (MgCu2Te)? 0.436 states/eV/atom

Repeat the third record exactly.
VASP calculation (PBE) on an optimized crystal structure of MgCu2Te. Values from VASP.

Output
DOS(E_F): 0.436 states/eV/atom
Raw total energy: -3.28 eV/atom
Distance to the lowest polymorph of the same formula: 0.000 eV per atom

```
&SYSTEM
  ibrav = 0, nat = 4, ntyp = 3
/
ATOMIC_SPECIES
Cu 63.55 Cu.upf
Mg 24.30 Mg.upf
Te 127.60 Te.upf
ATOMIC_POSITIONS angstrom
Cu -5.4347 -11.7299 -5.0759
Cu -1.8206 -3.9294 -1.7004
Mg -3.0626 -6.6101 -2.8604
Te -4.3084 -9.2990 -4.0239
CELL_PARAMETERS angstrom
-0.0384 -4.4570 -3.2954
-1.9064 -5.1898 0.3980
-3.9057 -2.9805 -2.5667
```

Look up the raw total energy of the second one. -5.64 eV/atom